1.
Computed, not measured: crystalline Fe4Ni3Pt at its relaxed geometry at the PBE-GGA level of DFT.

```
Fe4Ni3Pt
1.0
8.3885 0.0000 0.0000
0.0000 5.1402 0.0000
0.0000 0.0000 4.4677
Fe Ni Pt
8 6 2
direct
0.0000 0.2416 0.0000
0.0000 0.7584 0.0000
0.2500 0.2418 0.3291
0.2500 0.7582 0.3291
0.5000 0.2416 0.0000
0.5000 0.7584 0.0000
0.7500 0.2418 0.6709
0.7500 0.7582 0.6709
0.0000 0.0000 0.5000
0.2500 0.0000 0.8326
0.2500 0.5000 0.8458
0.5000 0.0000 0.5000
0.7500 0.0000 0.1674
0.7500 0.5000 0.1542
0.0000 0.5000 0.5000
0.5000 0.5000 0.5000
```

Properties
D(E_F) (states/eV/f.u.): 5.16

***

2.
Computed, not measured: crystalline Fe8Ni3Pt3 at its relaxed geometry at the PBE-GGA level of DFT.

```
Fe8Ni3Pt3
1.0
-1.9887 4.6639 4.8523
1.9887 -4.6639 4.8523
1.9887 4.6639 -4.8523
Fe Ni Pt
8 3 3
direct
0.0004 0.1283 0.8721
0.9996 0.8717 0.1279
0.1365 0.3571 0.7794
0.2563 0.1283 0.1279
0.4223 0.6429 0.7794
0.5777 0.3571 0.2206
0.7437 0.8717 0.8721
0.8635 0.6429 0.2206
0.3517 0.0000 0.3517
0.5000 0.5000 0.0000
0.6483 0.0000 0.6483
0.0000 0.5000 0.5000
0.2792 0.7792 0.5000
0.7208 0.2208 0.5000
```

Properties
D(E_F) (states/eV/f.u.): 14.68

***

3.
Computed, not measured: crystalline FeNiPt3 at its relaxed geometry at the PBE-GGA level of DFT.

```
FeNiPt3
1.0
2.3225 -6.9364 0.0000
2.3225 6.9364 0.0000
-1.3825 0.0000 4.4168
Fe Ni Pt
2 2 6
direct
0.1523 0.8477 0.7500
0.8477 0.1523 0.2500
0.3493 0.6507 0.7500
0.6507 0.3493 0.2500
0.0567 0.9433 0.2500
0.2514 0.7486 0.2500
0.4455 0.5545 0.2500
0.5545 0.4455 0.7500
0.7486 0.2514 0.7500
0.9433 0.0567 0.7500
```

Properties
Energy above the most stable polymorph in this dataset (eV/atom): 0.000
D(E_F) (states/eV/f.u.): 5.29

***

4.
Computed, not measured: crystalline FeNi2Pt at its relaxed geometry at the PBE-GGA level of DFT.

```
FeNi2Pt
1.0
2.6434 0.0000 0.0000
0.0000 2.6434 0.0000
0.0000 0.0000 7.1558
Fe Ni Pt
1 2 1
direct
0.0000 0.0000 0.0000
0.0000 0.0000 0.4660
0.5000 0.5000 0.2337
0.5000 0.5000 0.7322
```

Properties
D(E_F) (states/eV/f.u.): 4.44

***

5.
Computed, not measured: crystalline FeNi2Pt at its relaxed geometry at the PBE-GGA level of DFT.

```
FeNi2Pt
1.0
2.6390 0.0000 0.0000
0.0000 3.6139 0.0000
-0.0175 0.0000 5.2439
Fe Ni Pt
1 2 1
direct
0.0000 0.0000 0.0000
0.4987 0.5000 0.2354
0.9990 0.0000 0.4640
0.4995 0.5000 0.7307
```

Properties
D(E_F) (states/eV/f.u.): 5.16

***

6.
Computed, not measured: crystalline Fe2Ni3Pt2 at its relaxed geometry at the PBE-GGA level of DFT.

```
Fe2Ni3Pt2
1.0
8.3198 0.0000 0.0000
0.0000 3.6793 0.0000
-0.7868 0.0000 5.8219
Fe Ni Pt
4 6 4
direct
0.1425 0.0000 0.4179
0.3575 0.5000 0.5821
0.6425 0.5000 0.4179
0.8575 0.0000 0.5821
0.0000 0.0000 0.0000
0.2114 0.5000 0.1432
0.2886 0.0000 0.8568
0.5000 0.5000 0.0000
0.7114 0.0000 0.1432
0.7886 0.5000 0.8568
0.0755 0.5000 0.7209
0.4245 0.0000 0.2791
0.5755 0.0000 0.7209
0.9245 0.5000 0.2791
```

Properties
Energy above the most stable polymorph in this dataset (eV/atom): 0.000
D(E_F) (states/eV/f.u.): 7.07

***

no.,energy of formation from the pure elements (eV per atom)
1,-0.100
2,0.081
3,-0.176
4,-0.082
5,-0.124
6,-0.142